This record from Alexandria describes CoAg4F7 after structural relaxation. The functional is GGA+U.

Its calculated density is 5.076 Mg/m³. The total energy is -3.742 eV per atom. The total magnetization comes out at 8.07 μB/cell.

Unit cell a=15.906 b=3.898 c=6.934 alpha=90.00 beta=108.44 gamma=90.00
Space group C2/m (No. 12)
Unique sites:
Co1 0.000 0.000 0.000 [2 per cell]
Ag1 0.076 0.500 0.680 [4 per cell]
Ag2 0.207 0.500 0.260 [4 per cell]
F1 0.000 0.500 0.000 [2 per cell]
F2 0.004 0.000 0.287 [4 per cell]
F3 0.126 0.000 0.079 [4 per cell]
F4 0.205 0.500 0.621 [4 per cell]